[1]
## KInRu2 (PBE-GGA)

Data for KInRu2 after structural relaxation.

Calculated values
E_form	1.0547	eV/atom
energy	-4.542	eV/atom

Structure (POSCAR):
```
KInRu2
1.0
6.125 0.000 0.000
0.000 9.336 0.000
0.000 0.000 2.681
K In Ru
2 2 4
Cartesian
0.000 0.000 0.000
3.063 4.668 0.000
0.000 4.668 0.000
3.063 0.000 0.000
1.531 2.334 1.340
1.531 7.002 1.340
4.594 2.334 1.340
4.594 7.002 1.340
```

[2]
## KInRu2 (PBE-GGA)

Data for KInRu2 after structural relaxation.

Calculated values
E_form	1.0661	eV/atom
energy	-4.531	eV/atom

Structure (POSCAR):
```
KInRu2
1.0
2.955 0.000 0.000
0.000 5.005 0.000
0.000 0.000 5.186
K In Ru
1 1 2
Cartesian
0.000 0.000 0.000
1.478 0.000 2.593
0.000 2.502 2.593
1.478 2.502 0.000
```

[3]
## KInRu2 (PBE-GGA)

Data for KInRu2 after structural relaxation.

Calculated values
E_form	0.3924	eV/atom
energy	-5.204	eV/atom

Structure (POSCAR):
```
KInRu2
1.0
2.851 0.000 0.000
0.000 3.692 0.000
-0.041 0.000 8.463
K In Ru
1 1 2
Cartesian
0.000 0.000 0.000
1.400 1.846 2.919
1.397 1.846 5.820
2.821 0.000 4.781
```

[4]
## KInRu2 (PBE-GGA)

Data for KInRu2 after structural relaxation.

Calculated values
E_form	0.7865	eV/atom
energy	-4.810	eV/atom

Structure (POSCAR):
```
KInRu2
1.0
2.861 0.000 0.000
0.000 4.791 0.000
-0.724 0.000 6.745
K In Ru
1 1 2
Cartesian
0.000 0.000 0.000
1.068 0.000 3.372
0.250 2.395 4.435
1.887 2.395 2.310
```

Number 1: ρ 7.71 g/cm3, total magnetic moment 0.2831 μB per atom. Number 2: ρ 7.71 g/cm3, total magnetic moment 0.4368 μB per atom. Number 3: ρ 6.64 g/cm3, total magnetic moment 0.0000 μB per atom. Number 4: ρ 6.39 g/cm3, total magnetic moment 0.4667 μB per atom.